No. 1
# TlC2

A geometry-optimized TlC2 structure (PBE-GGA, the Alexandria database).

```
6
Lattice="-1.900 -3.612 -1.679 -0.757 -1.499 4.081 -5.308 2.777 0.035" Properties=species:S:1:pos:R:3 pbc="T T T"
Tl -1.329 -2.555 1.201
Tl -2.654 1.388 0.017
C -3.867 -0.953 1.802
C -4.099 -1.381 0.634
C -0.270 -0.518 0.244
C -2.388 -4.592 2.158
```

density of states at the Fermi level: 2.41 states/eV per cell
calculated total energy: -5.367 eV per atom
formation energy from the elements: 151.54 kJ/mol of atoms
energy relative to the lowest polymorph listed for this composition: 0.668 eV per atom

***

No. 2
# CuSb

A geometry-optimized CuSb structure (PBE-GGA, the Alexandria database).

```
4
Lattice="-4.746 -1.127 0.167 -1.396 -4.505 1.259 -2.176 -0.768 4.301" Properties=species:S:1:pos:R:3 pbc="T T T"
Sb -4.159 -3.200 2.864
Sb -6.239 -4.799 4.296
Cu -2.080 -1.600 1.432
Cu 0.000 0.000 0.000
```

uncorrected formation energy: 472 meV/atom
density of states at the Fermi level: 1.61 states/eV per cell
calculated total energy: -3.637 eV per atom

***

No. 3
# Pm4TeO10

A geometry-optimized Pm4TeO10 structure (PBE-GGA, the Alexandria database).

```
15
Lattice="5.051 0.000 2.281 2.526 6.106 1.140 0.013 0.000 6.705" Properties=species:S:1:pos:R:3 pbc="T T T"
Pm 2.006 2.458 2.291
Pm 5.583 3.647 7.835
Pm 3.550 1.263 5.605
Pm 4.039 4.843 4.521
O 6.245 4.436 3.374
O 4.349 5.601 6.831
O 0.436 0.505 2.029
O 1.344 1.670 6.752
O 3.241 0.505 3.295
O 3.441 4.436 2.108
O 2.532 3.053 4.493
O 4.148 1.670 8.019
O 5.057 3.053 5.633
O 7.153 5.601 8.098
Te 0.000 0.000 0.000
```

uncorrected formation energy: -2376 meV/atom
density of states at the Fermi level: 10.22 states/eV per cell
calculated total energy: -7.158 eV per atom

***

No. 4
# InHg2Te2

A geometry-optimized InHg2Te2 structure (PBE-GGA, the Alexandria database).

```
5
Lattice="4.327 0.000 0.000 0.000 4.327 0.000 2.163 2.163 8.038" Properties=species:S:1:pos:R:3 pbc="T T T"
Te 4.327 4.327 6.518
Te 2.163 2.163 1.520
In 0.000 0.000 0.000
Hg 4.327 2.163 4.019
Hg 2.163 4.327 4.019
```

uncorrected formation energy: 18 meV/atom
density of states at the Fermi level: 2.29 states/eV per cell
calculated total energy: -1.908 eV per atom
energy relative to the lowest polymorph listed for this composition: 0.048 eV per atom

***

No. 5
# NaErMg2

A geometry-optimized NaErMg2 structure (PBE-GGA, the Alexandria database).

```
4
Lattice="3.468 0.000 0.000 0.000 5.643 0.000 0.000 0.000 5.643" Properties=species:S:1:pos:R:3 pbc="T T T"
Na 1.734 2.821 2.821
Mg 0.000 0.000 2.821
Mg 0.000 2.821 0.000
Er 1.734 0.000 0.000
```

density of states at the Fermi level: 3.09 states/eV per cell
calculated total energy: -2.190 eV per atom
formation energy from the elements: 7.53 kJ/mol of atoms
energy relative to the lowest polymorph listed for this composition: 0.030 eV per atom

***

No. 6
# TlAs2Pb2

A geometry-optimized TlAs2Pb2 structure (PBE-GGA, the Alexandria database).

```
10
Lattice="8.425 0.000 0.000 0.000 8.425 0.000 0.000 0.000 3.928" Properties=species:S:1:pos:R:3 pbc="T T T"
Pb 6.970 2.757 1.964
Pb 5.668 6.970 1.964
Pb 1.455 5.668 1.964
Pb 2.757 1.455 1.964
As 0.924 3.289 0.000
As 5.136 0.924 0.000
As 3.289 7.501 0.000
As 7.501 5.136 0.000
Tl 0.000 0.000 0.000
Tl 4.213 4.213 0.000
```

density of states at the Fermi level: 5.57 states/eV per cell
calculated total energy: -3.753 eV per atom
formation energy from the elements: 6.16 kJ/mol of atoms
energy relative to the lowest polymorph listed for this composition: 0.004 eV per atom

***

No. 7
# V2ReGe

A geometry-optimized V2ReGe structure (PBE-GGA, the Alexandria database).

```
8
Lattice="-5.404 -3.631 -2.252 3.356 -5.855 1.386 -2.026 -4.747 1.978" Properties=species:S:1:pos:R:3 pbc="T T T"
V -3.541 -4.239 -0.771
V 0.992 -5.249 1.111
V -3.264 -11.943 0.745
V -2.335 -7.035 1.139
Re -4.227 -6.560 -0.353
Re 0.000 0.000 0.000
Ge -1.024 -4.743 -0.433
Ge 0.153 -7.672 1.466
```

density of states at the Fermi level: 9.11 states/eV per cell
calculated total energy: -8.315 eV per atom
formation energy from the elements: 49.32 kJ/mol of atoms

***

No. 8
# FeTe2OsN

A geometry-optimized FeTe2OsN structure (PBE-GGA, the Alexandria database).

```
5
Lattice="-3.197 -3.956 1.700 2.980 -0.504 4.431 -2.109 2.433 1.695" Properties=species:S:1:pos:R:3 pbc="T T T"
Te -1.599 -1.978 0.850
Te 1.490 -0.252 2.215
Os 0.000 0.000 0.000
N -1.055 1.216 0.848
Fe -1.163 -1.014 3.913
```

uncorrected formation energy: 708 meV/atom
density of states at the Fermi level: 5.50 states/eV per cell
calculated total energy: -6.152 eV per atom
energy relative to the lowest polymorph listed for this composition: 0.000 eV per atom

***

calculated total energy of number 5 (NaErMg2)? -2.190 eV per atom

***

The lowest calculated total energy belongs to which entry? V2ReGe